First-principles (GGA-PBE) data for Cs2BiPCl6 after structural relaxation, as listed in Alexandria via LeMat-Bulk.

Computed properties:
The calculation puts the formation energy (no corrections) at -1065 meV/atom. The uncorrected energy is -32.726 eV per cell. Its space group is I4/mmm, No. 139.

a b c (Å): 8.0926 8.0926 8.0926
angles (deg): 125.25 125.25 81.13
Element x y z (fractional)
Cs (0.2500, 0.7500, 0.5000)
Cs (0.7500, 0.2500, 0.5000)
Bi (0.0000, 0.0000, 0.0000)
P (0.5000, 0.5000, 0.0000)
Cl (0.2218, 0.2218, 0.0000)
Cl (0.2651, 0.2651, 0.5302)
Cl (0.2651, 0.7349, 0.0000)
Cl (0.7349, 0.2651, 0.0000)
Cl (0.7349, 0.7349, 0.4698)
Cl (0.7782, 0.7782, 0.0000)